1.
First-principles (PBE) data for a geometry-optimized Ni2AuCl structure, as listed in the Alexandria database.

The structure in POSCAR format:
```
Ni2AuCl
1.0
2.963 0.000 0.000
0.000 2.963 0.000
0.000 0.000 6.602
Ni Au Cl
2 1 1
Direct
0.000 0.000 0.242
0.000 0.000 0.758
0.500 0.500 0.500
0.500 0.500 0.000
```

## Properties
Polymorph energy (0 for the lowest one), meV/atom: 171
DFT total energy, eV per atom: -3.876
Energy relative to the elements, uncorrected, eV/atom: 0.30

---

2.
First-principles (PBE) data for a geometry-optimized Ni2AuCl structure, as listed in the Alexandria database.

The structure in POSCAR format:
```
Ni2AuCl
1.0
2.844 0.000 0.000
0.000 4.101 0.000
0.000 0.000 5.817
Ni Au Cl
2 1 1
Direct
0.000 0.000 0.000
0.500 0.000 0.500
0.000 0.500 0.500
0.500 0.500 0.000
```

## Properties
Polymorph energy (0 for the lowest one), meV/atom: 418
DFT total energy, eV per atom: -3.630
Energy relative to the elements, uncorrected, eV/atom: 0.54

---

3.
First-principles (PBE) data for a geometry-optimized NiAuCl structure, as listed in the Alexandria database.

The structure in POSCAR format:
```
NiAuCl
1.0
0.000 3.042 3.042
3.042 0.000 3.042
3.042 3.042 0.000
Ni Au Cl
1 1 1
Direct
0.000 0.000 0.000
0.250 0.250 0.250
0.750 0.750 0.750
```

## Properties
Polymorph energy (0 for the lowest one), meV/atom: 420
DFT total energy, eV per atom: -3.201
Energy relative to the elements, uncorrected, eV/atom: 0.43

---

4.
First-principles (PBE) data for a geometry-optimized Ni3AuCl structure, as listed in the Alexandria database.

The structure in POSCAR format:
```
Ni3AuCl
1.0
4.152 0.000 0.000
0.000 4.152 0.000
0.000 0.000 4.152
Ni Au Cl
3 1 1
Direct
0.000 0.000 0.500
0.000 0.500 0.000
0.500 0.000 0.000
0.500 0.500 0.500
0.000 0.000 0.000
```

## Properties
Polymorph energy (0 for the lowest one), meV/atom: 0
DFT total energy, eV per atom: -4.050
Energy relative to the elements, uncorrected, eV/atom: 0.44

---

5.
First-principles (PBE) data for a geometry-optimized NiRuAuCl2 structure, as listed in the Alexandria database.

The structure in POSCAR format:
```
NiRuAuCl2
1.0
4.912 0.000 0.000
0.000 4.912 0.000
0.000 0.000 4.951
Ni Ru Au Cl
1 1 1 2
Direct
0.000 0.000 0.000
0.500 0.500 0.000
0.000 0.000 0.500
0.000 0.500 0.500
0.500 0.000 0.500
```

## Properties
DFT total energy, eV per atom: -3.080
Energy relative to the elements, uncorrected, eV/atom: 1.33

---

6.
First-principles (PBE) data for a geometry-optimized NiAuS2Cl structure, as listed in the Alexandria database.

The structure in POSCAR format:
```
NiAuS2Cl
1.0
4.517 0.000 0.000
0.000 4.517 0.000
0.000 0.000 4.550
Ni Au S Cl
1 1 2 1
Direct
0.000 0.000 0.000
0.500 0.500 0.500
0.000 0.500 0.000
0.500 0.000 0.000
0.000 0.000 0.500
```

## Properties
Polymorph energy (0 for the lowest one), meV/atom: 0
DFT total energy, eV per atom: -3.359
Energy relative to the elements, uncorrected, eV/atom: 0.47

---

7.
First-principles (PBE) data for a geometry-optimized Si2NiAuCl structure, as listed in the Alexandria database.

The structure in POSCAR format:
```
Si2NiAuCl
1.0
4.739 0.000 0.000
0.000 4.739 0.000
0.000 0.000 5.036
Si Ni Au Cl
2 1 1 1
Direct
0.000 0.500 0.000
0.500 0.000 0.000
0.000 0.000 0.500
0.000 0.000 0.000
0.500 0.500 0.500
```

## Properties
DFT total energy, eV per atom: -3.534
Energy relative to the elements, uncorrected, eV/atom: 0.82

---

8.
First-principles (PBE) data for a geometry-optimized Tl2NiAuCl6 structure, as listed in the Alexandria database.

The structure in POSCAR format:
```
Tl2NiAuCl6
1.0
-3.462 3.462 5.300
3.462 -3.462 5.300
3.462 3.462 -5.300
Tl Ni Au Cl
2 1 1 6
Direct
0.250 0.750 0.500
0.750 0.250 0.500
0.000 0.000 0.000
0.500 0.500 0.000
0.212 0.212 0.000
0.248 0.248 0.497
0.248 0.752 0.000
0.752 0.248 0.000
0.752 0.752 0.503
0.788 0.788 0.000
```

## Properties
DFT total energy, eV per atom: -3.121
Energy relative to the elements, uncorrected, eV/atom: -0.63

---

9.
First-principles (PBE) data for a geometry-optimized YNiAuCl2 structure, as listed in the Alexandria database.

The structure in POSCAR format:
```
YNiAuCl2
1.0
4.928 0.000 0.000
0.000 4.928 0.000
0.000 0.000 4.974
Y Ni Au Cl
1 1 1 2
Direct
0.000 0.000 0.000
0.500 0.500 0.000
0.500 0.500 0.500
0.000 0.500 0.500
0.500 0.000 0.500
```

## Properties
DFT total energy, eV per atom: -3.684
Energy relative to the elements, uncorrected, eV/atom: 0.16

---

10.
First-principles (PBE) data for a geometry-optimized NpAuCl6 structure, as listed in the Alexandria database.

The structure in POSCAR format:
```
NpAuCl6
1.0
3.530 -6.090 0.000
3.530 6.090 0.000
-3.430 0.000 6.158
Np Au Cl
1 1 6
Direct
0.000 0.000 0.000
0.500 0.500 0.500
0.103 0.408 0.256
0.205 0.205 0.796
0.408 0.103 0.256
0.592 0.897 0.744
0.795 0.795 0.204
0.897 0.592 0.744
```

## Properties
Polymorph energy (0 for the lowest one), meV/atom: 31
DFT total energy, eV per atom: -4.508
Energy relative to the elements, uncorrected, eV/atom: -1.10

---

11.
First-principles (PBE) data for a geometry-optimized NpAuCl6 structure, as listed in the Alexandria database.

The structure in POSCAR format:
```
NpAuCl6
1.0
6.745 0.000 0.000
-3.063 6.517 0.000
-3.300 -2.351 6.424
Np Au Cl
1 1 6
Direct
0.000 0.000 0.000
0.500 0.500 0.000
0.111 0.906 0.747
0.173 0.797 0.202
0.473 0.357 0.253
0.527 0.643 0.747
0.827 0.203 0.798
0.889 0.094 0.253
```

## Properties
Polymorph energy (0 for the lowest one), meV/atom: 0
DFT total energy, eV per atom: -4.539
Energy relative to the elements, uncorrected, eV/atom: -1.13

---

12.
First-principles (PBE) data for a geometry-optimized AuCl2O2 structure, as listed in the Alexandria database.

The structure in POSCAR format:
```
AuCl2O2
1.0
-1.987 1.987 16.461
1.987 -1.987 16.461
1.987 1.987 -16.461
Au Cl O
2 4 4
Direct
0.375 0.625 0.750
0.625 0.375 0.250
0.239 0.489 0.750
0.489 0.239 0.250
0.511 0.761 0.750
0.761 0.511 0.250
0.140 0.390 0.750
0.390 0.140 0.250
0.610 0.860 0.750
0.860 0.610 0.250
```

## Properties
DFT total energy, eV per atom: -2.915
Energy relative to the elements, uncorrected, eV/atom: 0.46